Record 1
DFT (PBE-GGA) results for crystalline KInCu2 at its relaxed geometry.

abc: 4.480 4.480 8.781
angles: 90.00 90.00 90.00
Sites, in units of the cell vectors:
K 0.000 0.000 0.000
K 0.500 0.500 0.500
In 0.000 0.500 0.250
In 0.500 0.000 0.750
Cu 0.000 0.000 0.500
Cu 0.000 0.500 0.750
Cu 0.500 0.000 0.250
Cu 0.500 0.500 0.000

Results
Formation enthalpy at 0 K   2.01 eV per formula unit
Calculated density   5.3 g/cm³

Record 2
DFT (PBE-GGA) results for crystalline GeBiPd at its relaxed geometry.

abc: 4.119 4.119 7.513
angles: 90.00 90.00 90.00
Sites, in units of the cell vectors:
Ge 0.250 0.750 0.000
Ge 0.750 0.250 0.000
Bi 0.250 0.250 0.377
Bi 0.750 0.750 0.623
Pd 0.250 0.250 0.772
Pd 0.750 0.750 0.228

Results
Formation enthalpy at 0 K   -0.58 eV per formula unit
Calculated density   10.1 g/cm³

Record 3
DFT (PBE-GGA) results for crystalline Ho4Tm4Pb at its relaxed geometry.

abc: 7.870 7.870 7.870
angles: 95.31 95.31 144.58
Sites, in units of the cell vectors:
Ho 0.163 0.163 0.326
Ho 0.163 0.837 0.000
Ho 0.837 0.163 0.000
Ho 0.837 0.837 0.674
Tm 0.162 0.500 0.662
Tm 0.500 0.162 0.662
Tm 0.500 0.838 0.338
Tm 0.838 0.500 0.338
Pb 0.500 0.500 0.000

Results
Formation enthalpy at 0 K   -0.77 eV per formula unit
Calculated density   9.5 g/cm³

Record 4
DFT (PBE-GGA) results for crystalline NdGa7Fe5 at its relaxed geometry.

abc: 6.676 6.676 6.676
angles: 135.36 98.12 98.46
Sites, in units of the cell vectors:
Nd 0.000 0.000 0.000
Ga 0.205 0.497 0.708
Ga 0.235 0.735 0.500
Ga 0.345 0.345 0.000
Ga 0.354 0.012 0.342
Ga 0.666 0.666 0.000
Ga 0.670 0.012 0.658
Ga 0.789 0.497 0.292
Fe 0.005 0.001 0.497
Fe 0.005 0.508 0.004
Fe 0.504 0.001 0.996
Fe 0.504 0.508 0.503
Fe 0.762 0.262 0.500

Results
Formation enthalpy at 0 K   -3.59 eV per formula unit
Calculated density   7.8 g/cm³

Record 5
DFT (PBE-GGA) results for crystalline EuDyNi at its relaxed geometry.

abc: 3.483 3.483 12.719
angles: 90.00 90.00 90.00
Sites, in units of the cell vectors:
Eu 0.000 0.000 0.000
Eu 0.500 0.500 0.500
Dy 0.000 0.000 0.260
Dy 0.500 0.500 0.760
Ni 0.000 0.000 0.651
Ni 0.500 0.500 0.151

Results
Formation enthalpy at 0 K   -0.48 eV per formula unit
Calculated density   8.0 g/cm³

Record 6
DFT (PBE-GGA) results for crystalline Er8Cu2Ru at its relaxed geometry.

abc: 8.875 8.875 6.639
angles: 106.87 106.87 33.09
Sites, in units of the cell vectors:
Er 0.032 0.032 0.294
Er 0.198 0.198 0.818
Er 0.333 0.333 0.524
Er 0.409 0.409 0.059
Er 0.591 0.591 0.941
Er 0.667 0.667 0.476
Er 0.802 0.802 0.182
Er 0.968 0.968 0.706
Cu 0.184 0.184 0.215
Cu 0.816 0.816 0.785
Ru 0.500 0.500 0.500

Results
Formation enthalpy at 0 K   -2.20 eV per formula unit
Calculated density   9.6 g/cm³